Below is crystalline Tl3In4Ga4 at its relaxed geometry, with properties calculated at the PBE level.

The value obtained for the energy of formation is 0.05 eV per atom.

It has space group Immm (No. 71), with a = 4.9897 Å, b = 6.9672 Å, c = 16.5134 Å, α = 90.00°, β = 90.00° and γ = 90.00°. The distinct sites, in fractional coordinates, are Tl at (0.0000, 0.0000, 0.0000), Tl at (0.0000, 0.5000, 0.1214), In at (0.0000, 0.0000, 0.2179), In at (0.0000, 0.2189, 0.5000) and Ga at (0.0000, 0.3055, 0.3336).

Below is crystalline PrSi3IrOs at its relaxed geometry, with properties calculated at the PBE level.

It has space group Cmcm (No. 63), with a = 6.3086 Å, b = 13.4767 Å, c = 5.6829 Å, α = 90.00°, β = 90.00° and γ = 90.00°. The distinct sites, in fractional coordinates, are Pr at (0.0000, 0.1928, 0.2500), Si at (0.0000, 0.2297, 0.7500), Si at (0.2138, 0.5000, 0.0000), Ir at (0.0000, 0.3960, 0.7500) and Os at (0.0000, 0.0639, 0.7500).

Below is crystalline Ta2InPt at its relaxed geometry, with properties calculated at the PBE level.

The value obtained for the energy of formation is -0.19 eV per atom.

It has space group P4/mmm (No. 123), with a = 2.8989 Å, b = 2.8989 Å, c = 8.5637 Å, α = 90.00°, β = 90.00° and γ = 90.00°. The distinct sites, in fractional coordinates, are Ta at (0.0000, 0.0000, 0.2335), In at (0.5000, 0.5000, 0.5000) and Pt at (0.5000, 0.5000, 0.0000).

Below is crystalline AcNdScHg at its relaxed geometry, with properties calculated at the PBE level.

The value obtained for the energy of formation is 0.06 eV per atom.

It has space group F-43m (No. 216), with a = 7.8033 Å, b = 7.8033 Å, c = 7.8033 Å, α = 90.00°, β = 90.00° and γ = 90.00°. The distinct sites, in fractional coordinates, are Ac at (0.0000, 0.0000, 0.0000), Nd at (0.2500, 0.2500, 0.2500), Sc at (0.2500, 0.2500, 0.7500) and Hg at (0.0000, 0.0000, 0.5000).

These records have mass density values of 7.8, 8.4, 15.5, 8.6 g/cm³, in the order they appear.
These records have total DFT energy (no corrections) values of -29.6, -44.0, -33.2, -15.3 eV per formula unit, in the order they appear.